A plane-wave DFT calculation with PBE+U was carried out for a relaxed structure of V3O7F.

a b c (Å): 15.078 9.995 3.600
angles (deg): 90.00 90.00 90.00
Space group Pnma (No. 62)
Unique sites:
V: 0.050 0.250 0.050
V: 0.163 0.558 0.003
O: 0.029 0.250 0.511
O: 0.062 0.622 0.998
O: 0.125 0.116 0.011
O: 0.199 0.550 0.508
F: 0.214 0.750 0.011

Summary:
V = 542.53 Å³/cell
E_tot = -7.18 eV per atom